# 1
SrYCu2 | PBE-GGA | optimized geometry

Cell: 7.745 7.745 6.604 Å, 54.10 54.10 90.00°
Fractional coordinates of all 8 atoms:
Cu (0.652, 0.125, 0.250)
Cu (0.375, 0.348, 0.750)
Cu (0.875, 0.902, 0.750)
Cu (0.098, 0.625, 0.250)
Y (0.000, 0.000, 0.000)
Y (0.750, 0.250, 0.500)
Sr (0.250, 0.750, 0.500)
Sr (0.500, 0.500, 0.000)

Results
Raw total energy, eV/atom: -3.817
Energy of formation from the pure elements, eV per atom: 0.268
Theoretical density, g/cm³: 4.6
D(E_F), states/eV per cell: 5.76
Crystal system: tetragonal

# 2
SrY2Cu2 | PBE-GGA | optimized geometry

Cell: 8.175 8.175 3.881 Å, 90.00 90.00 90.00°
Fractional coordinates of all 10 atoms:
Cu (0.382, 0.882, 0.000)
Cu (0.618, 0.118, 0.000)
Cu (0.882, 0.618, 0.000)
Cu (0.118, 0.382, 0.000)
Y (0.654, 0.846, 0.500)
Y (0.846, 0.346, 0.500)
Y (0.346, 0.154, 0.500)
Y (0.154, 0.654, 0.500)
Sr (0.000, 0.000, 0.000)
Sr (0.500, 0.500, 0.000)

Results
Raw total energy, eV/atom: -4.595
Energy of formation from the pure elements, eV per atom: -0.034
Theoretical density, g/cm³: 5.0
D(E_F), states/eV per cell: 8.75
Crystal system: tetragonal

# 3
Sr4YCu | PBE-GGA | optimized geometry

Cell: 7.284 7.284 7.284 Å, 60.00 60.00 60.00°
Last column: magnetic moment on the atom in μB.
Fractional coordinates of all 6 atoms:
Y (0.750, 0.750, 0.750)  0.16
Sr (0.375, 0.874, 0.375)  0.02
Sr (0.874, 0.375, 0.375)  0.02
Sr (0.375, 0.375, 0.375)  0.02
Sr (0.375, 0.375, 0.874)  0.02
Cu (0.000, 0.000, 0.000)  0.00

Results
Raw total energy, eV/atom: -2.175
Energy of formation from the pure elements, eV per atom: 0.707
Theoretical density, g/cm³: 3.1
D(E_F), states/eV per cell: 8.49
Crystal system: cubic